Compound: ErTiAlCd
Source: the Alexandria database
Functional: PBE
Structure: relaxed

Cell lengths 4.8918, 4.8918, 4.8918 Å; angles 60.00, 60.00, 60.00 degrees
Sites, in units of the cell vectors:
1 Cd 0.5000 0.5000 0.5000
2 Ti 0.2500 0.2500 0.2500
3 Al 0.0000 0.0000 0.0000
4 Er 0.7500 0.7500 0.7500

## Properties
- Symmetry: No. 216
- Formation energy from the elements: -0.14 eV/atom
- Total magnetic moment: 0.01 Bohr magnetons per cell



Compound: RbLiTm2Br8
Source: the Alexandria database
Functional: PBE
Structure: relaxed

Cell lengths 7.2655, 7.0484, 8.5798 Å; angles 89.99, 89.98, 81.22 degrees
Sites, in units of the cell vectors:
1 Rb 0.0000 0.0000 0.5000
2 Li 0.0000 0.0000 0.0000
3 Tm 0.5000 0.5001 0.7592
4 Tm 0.5000 0.4999 0.2408
5 Br 0.1685 0.7377 0.2132
6 Br 0.6297 0.7183 0.0000
7 Br 0.8313 0.2620 0.2131
8 Br 0.8315 0.2623 0.7868
9 Br 0.3703 0.2817 0.0000
10 Br 0.1687 0.7380 0.7869
11 Br 0.6201 0.7057 0.4999
12 Br 0.3799 0.2943 0.5001

## Properties
- ΔE_f (raw): -1.736 eV per atom
- Symmetry: No. 10
- Total magnetic moment: 0.00 Bohr magnetons per cell